[1]
VASP calculation (PBE) on an optimized crystal structure of MgTaAgPd.

a = 6.439 Å, b = 6.439 Å, c = 6.439 Å
α = 90.00°, β = 90.00°, γ = 90.00°
Space group F-43m (No. 216)
Asymmetric unit:
Mg 0.000 0.000 0.000 [4 per cell]
Ta 0.250 0.250 0.750 [4 per cell]
Ag 0.250 0.250 0.250 [4 per cell]
Pd 0.000 0.000 0.500 [4 per cell]

Calculated values
Energy above the most stable polymorph in this dataset ... 120 meV per atom

=====

[2]
VASP calculation (PBE) on an optimized crystal structure of Tm3Mg3AgPd2.

a = 7.4572 Å, b = 7.4572 Å, c = 4.0199 Å
α = 90.00°, β = 90.00°, γ = 120.00°
Space group P-62m (No. 189)
Asymmetric unit:
Tm 0.0000 0.4184 0.0000 [3 per cell]
Mg 0.0000 0.7468 0.5000 [3 per cell]
Ag 0.0000 0.0000 0.0000 [1 per cell]
Pd 0.3333 0.6667 0.5000 [2 per cell]

=====

[3]
VASP calculation (PBE) on an optimized crystal structure of Y3Mg3Ag2Pd.

a = 7.5561 Å, b = 7.5561 Å, c = 4.1423 Å
α = 90.00°, β = 90.00°, γ = 120.00°
Space group P-62m (No. 189)
Asymmetric unit:
Y 0.0000 0.5935 0.0000 [3 per cell]
Mg 0.0000 0.2394 0.5000 [3 per cell]
Ag 0.3333 0.6667 0.5000 [2 per cell]
Pd 0.0000 0.0000 0.0000 [1 per cell]

=====

[4]
VASP calculation (PBE) on an optimized crystal structure of PmMgAg.

a = 6.881 Å, b = 6.881 Å, c = 6.881 Å
α = 90.00°, β = 90.00°, γ = 90.00°
Space group F-43m (No. 216)
Asymmetric unit:
Pm 0.000 0.000 0.000 [4 per cell]
Mg 0.250 0.250 0.750 [4 per cell]
Ag 0.000 0.000 0.500 [4 per cell]

Calculated values
Energy above the most stable polymorph in this dataset ... 0 meV per atom

=====

[5]
VASP calculation (PBE) on an optimized crystal structure of PmMgAg.

a = 7.079 Å, b = 7.079 Å, c = 7.079 Å
α = 90.00°, β = 90.00°, γ = 90.00°
Space group F-43m (No. 216)
Asymmetric unit:
Pm 0.000 0.000 0.000 [4 per cell]
Mg 0.250 0.250 0.250 [4 per cell]
Ag 0.250 0.250 0.750 [4 per cell]

Calculated values
Energy above the most stable polymorph in this dataset ... 134 meV per atom

=====

[6]
VASP calculation (PBE) on an optimized crystal structure of PrMg2Ag4.

a = 7.180 Å, b = 7.180 Å, c = 5.621 Å
α = 90.00°, β = 90.00°, γ = 90.00°
Space group I4/mmm (No. 139)
Asymmetric unit:
Pr 0.000 0.000 0.000 [2 per cell]
Mg 0.000 0.500 0.250 [4 per cell]
Ag 0.195 0.195 0.500 [8 per cell]

=====

| no. | total DFT energy (no corrections) (eV/atom) |
| --- | --- |
| 1 | -5.2785 |
| 2 | -4.0263 |
| 3 | -4.2899 |
| 4 | -2.8139 |
| 5 | -2.6797 |
| 6 | -3.0166 |